Record 1
Entry from the Alexandria database: crystalline PmSm2Te at its relaxed geometry (GGA-PBE).

Output
**V**: 251.6 Å³ per cell
**E_form (uncorrected)**: -0.68 eV per atom
**SG**: No. 63
**E**: -5.0158 eV per atom
**Energy above the most stable polymorph in this dataset**: 0 meV per atom
**Total magnetic moment**: 0.0 μB/f.u.

Unit cell a=4.0451 b=6.4593 c=10.1405 alpha=90.00 beta=90.00 gamma=108.24
Sites, in units of the cell vectors:
Pm  0.9419  0.8836  0.2500
Pm  0.0581  0.1164  0.7500
Sm  0.3641  0.7285  0.5361
Sm  0.6359  0.2715  0.4639
Sm  0.3641  0.7285  0.9639
Sm  0.6359  0.2715  0.0361
Te  0.7680  0.5362  0.7500
Te  0.2320  0.4638  0.2500

***

Record 2
Entry from the Alexandria database: crystalline Pm5Sm3Te8 at its relaxed geometry (GGA-PBE).

Output
**V**: 501.4 Å³ per cell
**E_form (uncorrected)**: -1.39 eV per atom
**SG**: No. 166
**E**: -5.3343 eV per atom
**Total magnetic moment**: 0.0 μB/f.u.

Unit cell a=8.9202 b=8.9202 c=8.9139 alpha=59.98 beta=59.98 gamma=60.00
Sites, in units of the cell vectors:
Pm  0.5000  0.0000  0.0000
Pm  0.5000  0.5000  0.0000
Pm  0.0000  0.0000  0.0000
Pm  0.0000  0.5000  0.0000
Pm  0.5000  0.5000  0.5000
Sm  0.5000  0.0000  0.5000
Sm  0.0000  0.0000  0.5000
Sm  0.0000  0.5000  0.5000
Te  0.2500  0.2500  0.7487
Te  0.2500  0.7513  0.7487
Te  0.7513  0.2500  0.7487
Te  0.7506  0.7506  0.7481
Te  0.7500  0.7500  0.2513
Te  0.7500  0.2487  0.2513
Te  0.2487  0.7500  0.2513
Te  0.2494  0.2494  0.2519

***

Record 3
Entry from the Alexandria database: crystalline Pm2Sm2Te3 at its relaxed geometry (GGA-PBE).

Output
**V**: 407.8 Å³ per cell
**E_form (uncorrected)**: -1.20 eV per atom
**SG**: No. 199
**E**: -5.2474 eV per atom
**Energy above the most stable polymorph in this dataset**: 0 meV per atom
**Total magnetic moment**: 0.0 μB/f.u.

Unit cell a=8.0914 b=8.0914 c=8.0914 alpha=109.47 beta=109.47 gamma=109.47
Sites, in units of the cell vectors:
Pm  0.5000  0.3555  0.5000
Pm  0.0000  0.0000  0.3555
Pm  0.6445  0.1445  0.1445
Pm  0.8555  0.5000  0.0000
Sm  0.0000  0.0000  0.8571
Sm  0.5000  0.8571  0.5000
Sm  0.1429  0.6429  0.6429
Sm  0.3571  0.5000  0.0000
Te  0.7500  0.6261  0.3761
Te  0.2500  0.8739  0.1239
Te  0.6239  0.7500  0.8739
Te  0.8761  0.2500  0.6261
Te  0.3739  0.1239  0.7500
Te  0.1261  0.3761  0.2500